GdTlAg PBE relaxed; SG = P-6m2 (187); raw total energy = -3.5820 eV/atom
1.0
-4.1547 0.5264 2.6107
-0.2269 -1.1558 -4.7924
0.0813 -3.3679 0.8084
Ag Gd Tl
1 1 1
Cartesian
-1.5226 -1.1561 -2.1900
-2.7913 -2.2795 0.6819
0.0136 -0.5618 0.1348